Record 1
A plane-wave DFT calculation with PBEsol was carried out for crystalline ZnReNi at its relaxed geometry.

a b c (Å): 2.6650 2.6650 6.3095
angles (deg): 90.00 90.00 120.00
Space group P3m1 (No. 156)
Inequivalent atoms, fractional coordinates:
Zn1 0.0000 0.0000 0.0000 (multiplicity 1)
Re1 0.6667 0.3333 0.3647 (multiplicity 1)
Ni1 0.3333 0.6667 0.6826 (multiplicity 1)

Output
Distance to the lowest polymorph of the same formula: 0.000 eV per atom
E: -6.97 eV per atom
Size of the total moment: 0.0 μB/f.u.
Energy relative to the elements: 0.054 eV per atom

---

Record 2
A plane-wave DFT calculation with PBEsol was carried out for crystalline CaHg3 at its relaxed geometry.

a b c (Å): 3.684 3.818 6.748
angles (deg): 90.00 90.00 90.00
Space group Pmmm (No. 47)
Inequivalent atoms, fractional coordinates:
Ca1 0.000 0.000 0.000 (multiplicity 1)
Hg1 0.000 0.000 0.500 (multiplicity 1)
Hg2 0.500 0.500 0.262 (multiplicity 2)

Output
E: -1.35 eV per atom
Size of the total moment: 0.0 μB/f.u.
Energy relative to the elements: -0.392 eV per atom

---

Record 3
A plane-wave DFT calculation with PBEsol was carried out for crystalline Al2CrBO at its relaxed geometry.

a b c (Å): 4.683 4.683 3.717
angles (deg): 90.00 90.00 90.00
Space group P4/mmm (No. 123)
Inequivalent atoms, fractional coordinates:
Al1 0.000 0.500 0.000 (multiplicity 2)
Cr1 0.000 0.000 0.000 (multiplicity 1)
B1 0.000 0.000 0.500 (multiplicity 1)
O1 0.500 0.500 0.500 (multiplicity 1)

Output
E: -5.06 eV per atom
Uncorrected formation energy: 1.0806 eV per atom
Size of the total moment: 2.9 μB/f.u.

---

Record 4
A plane-wave DFT calculation with PBEsol was carried out for crystalline Mg2NbN3 at its relaxed geometry.

a b c (Å): 5.359 9.269 5.351
angles (deg): 90.00 109.63 90.00
Space group C2/m (No. 12)
Inequivalent atoms, fractional coordinates:
Mg1 0.000 0.000 0.000 (multiplicity 2)
Mg2 0.000 0.163 0.500 (multiplicity 4)
Mg3 0.000 0.500 0.500 (multiplicity 2)
Nb1 0.000 0.332 0.000 (multiplicity 4)
N1 0.234 0.500 0.240 (multiplicity 4)
N2 0.249 0.327 0.765 (multiplicity 8)

Output
Distance to the lowest polymorph of the same formula: 0.000 eV per atom
E: -7.74 eV per atom
Uncorrected formation energy: -1.0976 eV per atom
Size of the total moment: 0.0 μB/f.u.

---

Record 5
A plane-wave DFT calculation with PBEsol was carried out for crystalline NaAlPO4F at its relaxed geometry.

a b c (Å): 6.430 8.253 6.910
angles (deg): 90.00 115.56 90.00
Space group C2/c (No. 15)
Inequivalent atoms, fractional coordinates:
Na1 0.000 0.167 0.250 (multiplicity 4)
Al1 0.000 0.500 0.000 (multiplicity 4)
P1 0.000 0.184 0.750 (multiplicity 4)
O1 0.095 0.291 0.622 (multiplicity 8)
O2 0.192 0.071 0.903 (multiplicity 8)
F1 0.000 0.430 0.250 (multiplicity 4)

Output
E: -7.00 eV per atom
Uncorrected formation energy: -2.7271 eV per atom
Size of the total moment: 0.0 μB/f.u.

---

Record 6
A plane-wave DFT calculation with PBEsol was carried out for crystalline KCa2PIr at its relaxed geometry.

a b c (Å): 5.335 5.335 5.646
angles (deg): 90.00 90.00 90.00
Space group P4/mmm (No. 123)
Inequivalent atoms, fractional coordinates:
K1 0.000 0.000 0.000 (multiplicity 1)
Ca1 0.000 0.500 0.500 (multiplicity 2)
P1 0.000 0.000 0.500 (multiplicity 1)
Ir1 0.500 0.500 0.000 (multiplicity 1)

Output
E: -3.77 eV per atom
Size of the total moment: 1.0 μB/f.u.
Energy relative to the elements: 0.437 eV per atom

---

Record 7
A plane-wave DFT calculation with PBEsol was carried out for crystalline ZrIn3Au at its relaxed geometry.

a b c (Å): 5.112 5.112 5.112
angles (deg): 90.00 90.00 90.00
Space group Pm-3m (No. 221)
Inequivalent atoms, fractional coordinates:
Zr1 0.000 0.000 0.000 (multiplicity 1)
In1 0.000 0.500 0.500 (multiplicity 3)
Au1 0.500 0.500 0.500 (multiplicity 1)

Output
E: -3.87 eV per atom
Size of the total moment: 0.0 μB/f.u.
Energy relative to the elements: 0.522 eV per atom

---

Record 8
A plane-wave DFT calculation with PBEsol was carried out for crystalline ZrZn2Co2 at its relaxed geometry.

a b c (Å): 3.632 3.632 10.652
angles (deg): 90.00 90.00 90.00
Space group I4/mmm (No. 139)
Inequivalent atoms, fractional coordinates:
Zr1 0.000 0.000 0.000 (multiplicity 2)
Zn1 0.000 0.500 0.250 (multiplicity 4)
Co1 0.000 0.000 0.399 (multiplicity 4)

Output
E: -5.63 eV per atom
Size of the total moment: 0.0 μB/f.u.
Energy relative to the elements: -0.081 eV per atom

---

- Which of these has the lowest E?
  Mg2NbN3

---

- The highest size of the total moment belongs to which entry?
  Al2CrBO

---

Repeat the sixth record exactly.
A plane-wave DFT calculation with PBEsol was carried out for crystalline KCa2PIr at its relaxed geometry.

a b c (Å): 5.335 5.335 5.646
angles (deg): 90.00 90.00 90.00
Space group P4/mmm (No. 123)
Inequivalent atoms, fractional coordinates:
K1 0.000 0.000 0.000 (multiplicity 1)
Ca1 0.000 0.500 0.500 (multiplicity 2)
P1 0.000 0.000 0.500 (multiplicity 1)
Ir1 0.500 0.500 0.000 (multiplicity 1)

Output
E: -3.77 eV per atom
Size of the total moment: 1.0 μB/f.u.
Energy relative to the elements: 0.437 eV per atom

---

- Look up the size of the total moment of the eighth one.
  0.0 μB/f.u.